w.
The following is a PBE calculation of a relaxed ZrIn3Pb crystal, from Alexandria via LeMat-Bulk. Values from VASP.

Symmetry = Pm-3m
Spin magnetization = 0.0 Bohr magnetons per cell

Structure (Quantum ESPRESSO input):
```
&SYSTEM
  ibrav = 0, nat = 5, ntyp = 3
/
ATOMIC_SPECIES
In 114.82 In.upf
Zr 91.22 Zr.upf
Pb 207.20 Pb.upf
ATOMIC_POSITIONS angstrom
In -1.838 -1.627 1.327
In -2.071 1.114 -1.502
In -0.346 1.974 1.941
Zr 0.000 0.000 0.000
Pb -4.255 1.461 1.766
CELL_PARAMETERS angstrom
-0.693 3.949 3.883
-4.142 2.228 -3.005
-3.676 -3.254 2.654
```

x.
The following is a PBE calculation of a relaxed ZrIn3Pb crystal, from Alexandria via LeMat-Bulk. Values from VASP.

Symmetry = Pm-3m
Spin magnetization = 1.7 Bohr magnetons per cell

Structure (Quantum ESPRESSO input):
```
&SYSTEM
  ibrav = 0, nat = 5, ntyp = 3
/
ATOMIC_SPECIES
In 114.82 In.upf
Zr 91.22 Zr.upf
Pb 207.20 Pb.upf
ATOMIC_POSITIONS angstrom
In -2.412 -1.289 -0.660
In 0.145 -1.490 2.382
In -1.441 2.008 1.343
Zr -3.708 -0.771 3.066
Pb 0.000 0.000 0.000
CELL_PARAMETERS angstrom
-4.824 -2.579 -1.319
0.290 -2.979 4.764
-2.882 4.016 2.687
```

The most stable of them is w.

w.
The following is a PBE calculation of a relaxed ZrInPb3 crystal, from Alexandria via LeMat-Bulk. Values from VASP.

Symmetry = Pm-3m
Spin magnetization = 1.7 Bohr magnetons per cell

Structure (Quantum ESPRESSO input):
```
&SYSTEM
  ibrav = 0, nat = 5, ntyp = 3
/
ATOMIC_SPECIES
Pb 207.20 Pb.upf
In 114.82 In.upf
Zr 91.22 Zr.upf
ATOMIC_POSITIONS angstrom
Pb 0.000 0.000 2.818
Pb 0.000 2.818 0.000
Pb 2.818 0.000 0.000
In 0.000 0.000 0.000
Zr 2.818 2.818 2.818
CELL_PARAMETERS angstrom
5.636 0.000 0.000
0.000 5.636 0.000
0.000 0.000 5.636
```

x.
The following is a PBE calculation of a relaxed ZrInPb3 crystal, from Alexandria via LeMat-Bulk. Values from VASP.

Symmetry = Pm-3m
Spin magnetization = 0.0 Bohr magnetons per cell

Structure (Quantum ESPRESSO input):
```
&SYSTEM
  ibrav = 0, nat = 5, ntyp = 3
/
ATOMIC_SPECIES
In 114.82 In.upf
Pb 207.20 Pb.upf
Zr 91.22 Zr.upf
ATOMIC_POSITIONS angstrom
In 2.466 -1.117 4.117
Pb 2.831 -0.164 0.225
Pb -0.257 -2.427 1.461
Pb -0.108 1.474 2.431
Zr 0.000 0.000 0.000
CELL_PARAMETERS angstrom
-0.514 -4.855 2.922
5.662 -0.328 0.450
-0.216 2.949 4.861
```

The most stable of them is x.

w.
The following is a PBE calculation of a relaxed In2Pd5 crystal, from Alexandria via LeMat-Bulk. Values from VASP.

Symmetry = C2/c
Spin magnetization = 0.0 Bohr magnetons per cell

Structure (Quantum ESPRESSO input):
```
&SYSTEM
  ibrav = 0, nat = 14, ntyp = 2
/
ATOMIC_SPECIES
Pd 106.42 Pd.upf
In 114.82 In.upf
ATOMIC_POSITIONS angstrom
Pd -7.399 3.662 0.768
Pd -5.119 -0.009 3.404
Pd -3.070 2.213 2.968
Pd -5.804 -1.684 1.268
Pd -1.887 3.731 0.897
Pd -3.755 0.538 0.832
Pd -2.291 -0.469 3.189
Pd -6.582 0.998 1.046
Pd -1.475 -3.133 3.468
Pd -5.370 1.511 -1.455
In -4.204 -2.644 3.442
In -7.819 -0.466 2.973
In -4.670 3.173 0.794
In -1.055 0.995 1.263
CELL_PARAMETERS angstrom
-0.133 4.409 1.888
-7.124 0.833 -2.447
-1.616 -4.713 4.794
```

x.
The following is a PBE calculation of a relaxed In2Pd5 crystal, from Alexandria via LeMat-Bulk. Values from VASP.

Symmetry = Ibam
Spin magnetization = 0.0 Bohr magnetons per cell

Structure (Quantum ESPRESSO input):
```
&SYSTEM
  ibrav = 0, nat = 14, ntyp = 2
/
ATOMIC_SPECIES
In 114.82 In.upf
Pd 106.42 Pd.upf
ATOMIC_POSITIONS angstrom
In 1.024 -3.362 -3.853
In 4.827 -1.024 -2.237
In 0.640 1.095 -3.292
In -3.163 -1.243 -4.907
Pd 2.021 1.128 -5.740
Pd -0.818 -1.297 -3.359
Pd 2.983 1.032 -1.752
Pd 2.523 3.131 -3.707
Pd -0.357 -3.396 -1.405
Pd 1.078 -0.956 -1.281
Pd 0.586 -1.312 -5.864
Pd 4.413 1.122 -4.151
Pd 2.482 -0.971 -3.786
Pd -2.749 -3.390 -2.994
CELL_PARAMETERS angstrom
-0.920 4.198 -3.908
6.427 -0.035 -1.551
-3.842 -6.431 -1.686
```

The most stable of them is x.

w.
The following is a PBE calculation of a relaxed Pm4InPd crystal, from Alexandria via LeMat-Bulk. Values from VASP.

Symmetry = F-43m
Spin magnetization = 0.0 Bohr magnetons per cell

Structure (Quantum ESPRESSO input):
```
&SYSTEM
  ibrav = 0, nat = 24, ntyp = 3
/
ATOMIC_SPECIES
Pm 145.00 Pm.upf
Pd 106.42 Pd.upf
In 114.82 In.upf
ATOMIC_POSITIONS angstrom
Pm 9.382 6.634 9.983
Pm 7.534 7.686 16.900
Pm 4.587 3.244 12.021
Pm 2.145 1.517 9.983
Pm 5.764 6.571 9.983
Pm 9.757 4.541 13.048
Pm 3.954 6.634 6.849
Pm 7.573 1.517 13.117
Pm 7.573 1.517 6.849
Pm 6.422 4.541 14.974
Pm 9.757 4.541 16.900
Pm 8.117 3.244 9.983
Pm 10.869 7.686 14.974
Pm 7.534 7.686 13.048
Pm 3.954 6.634 13.117
Pm 4.587 3.244 7.945
Pd 6.987 4.941 12.102
Pd 3.317 4.941 9.983
Pd 6.987 4.941 7.864
Pd 5.764 1.480 9.983
In 1.943 1.374 6.617
In 2.882 4.029 4.991
In 1.943 1.374 3.366
In 4.759 1.374 4.991
CELL_PARAMETERS angstrom
8.645 0.000 4.991
2.882 8.151 4.991
0.000 0.000 9.983
```

x.
The following is a PBE calculation of a relaxed Pm4InPd crystal, from Alexandria via LeMat-Bulk. Values from VASP.

Symmetry = C2/c
Spin magnetization = 0.0 Bohr magnetons per cell

Structure (Quantum ESPRESSO input):
```
&SYSTEM
  ibrav = 0, nat = 12, ntyp = 3
/
ATOMIC_SPECIES
Pm 145.00 Pm.upf
In 114.82 In.upf
Pd 106.42 Pd.upf
ATOMIC_POSITIONS angstrom
Pm 0.469 -2.269 1.675
Pm -2.583 -0.554 2.982
Pm -5.561 -2.592 3.086
Pm 1.810 -5.533 2.782
Pm -1.558 -6.487 1.712
Pm 4.787 -3.495 2.678
Pm 0.785 0.400 4.053
Pm -1.243 -3.818 4.090
In 1.863 -2.651 4.626
In -2.637 -3.437 1.139
Pd -0.197 -6.823 4.615
Pd -0.576 0.736 1.149
CELL_PARAMETERS angstrom
-2.338 2.988 4.550
-5.620 -6.263 -2.157
7.184 -2.811 3.371
```

The most stable of them is w.

w.
The following is a PBE calculation of a relaxed PmIn2Pd crystal, from Alexandria via LeMat-Bulk. Values from VASP.

Symmetry = R-3m
Spin magnetization = 0.0 Bohr magnetons per cell

Structure (Quantum ESPRESSO input):
```
&SYSTEM
  ibrav = 0, nat = 4, ntyp = 3
/
ATOMIC_SPECIES
In 114.82 In.upf
Pd 106.42 Pd.upf
Pm 145.00 Pm.upf
ATOMIC_POSITIONS angstrom
In 2.302 1.329 0.852
In 6.906 3.987 4.425
Pd 0.000 0.000 0.000
Pm 4.604 2.658 2.638
CELL_PARAMETERS angstrom
4.604 0.000 0.000
2.302 3.987 0.000
2.302 1.329 5.277
```

x.
The following is a PBE calculation of a relaxed PmIn2Pd crystal, from Alexandria via LeMat-Bulk. Values from VASP.

Symmetry = Fm-3m
Spin magnetization = 0.0 Bohr magnetons per cell

Structure (Quantum ESPRESSO input):
```
&SYSTEM
  ibrav = 0, nat = 4, ntyp = 3
/
ATOMIC_SPECIES
In 114.82 In.upf
Pm 145.00 Pm.upf
Pd 106.42 Pd.upf
ATOMIC_POSITIONS angstrom
In 7.558 4.364 3.086
In 2.519 1.455 1.029
Pm 0.000 0.000 0.000
Pd 5.039 2.909 2.057
CELL_PARAMETERS angstrom
5.039 0.000 0.000
2.519 4.364 0.000
2.519 1.455 4.114
```

The most stable of them is w.

w.
The following is a PBE calculation of a relaxed PmIn2Pd crystal, from Alexandria via LeMat-Bulk. Values from VASP.

Symmetry = Cmcm
Spin magnetization = 0.0 Bohr magnetons per cell

Structure (Quantum ESPRESSO input):
```
&SYSTEM
  ibrav = 0, nat = 8, ntyp = 3
/
ATOMIC_SPECIES
Pd 106.42 Pd.upf
Pm 145.00 Pm.upf
In 114.82 In.upf
ATOMIC_POSITIONS angstrom
Pd 0.000 2.224 1.869
Pd 2.305 3.155 5.606
Pm 2.305 4.555 1.869
Pm 0.000 0.824 5.606
In 2.305 1.478 0.370
In 2.305 1.478 3.367
In 0.000 3.902 7.104
In 0.000 3.902 4.107
CELL_PARAMETERS angstrom
4.610 0.000 0.000
-2.305 5.380 0.000
0.000 0.000 7.474
```

x.
The following is a PBE calculation of a relaxed PmIn2Pd crystal, from Alexandria via LeMat-Bulk. Values from VASP.

Symmetry = P4/mmm
Spin magnetization = 0.0 Bohr magnetons per cell

Structure (Quantum ESPRESSO input):
```
&SYSTEM
  ibrav = 0, nat = 4, ntyp = 3
/
ATOMIC_SPECIES
Pd 106.42 Pd.upf
Pm 145.00 Pm.upf
In 114.82 In.upf
ATOMIC_POSITIONS angstrom
Pd -1.752 -1.236 -1.162
Pm -3.961 -1.029 1.949
In -0.893 0.084 1.257
In -3.526 0.330 4.964
CELL_PARAMETERS angstrom
-2.695 0.862 -1.971
-0.808 -3.334 -0.352
-4.419 0.414 6.222
```

The most stable of them is w.

w.
The following is a PBE calculation of a relaxed Pm8InPd2 crystal, from Alexandria via LeMat-Bulk. Values from VASP.

Symmetry = C2/m
Spin magnetization = 0.0 Bohr magnetons per cell

Structure (Quantum ESPRESSO input):
```
&SYSTEM
  ibrav = 0, nat = 11, ntyp = 3
/
ATOMIC_SPECIES
Pd 106.42 Pd.upf
Pm 145.00 Pm.upf
In 114.82 In.upf
ATOMIC_POSITIONS angstrom
Pd 1.531 2.772 4.595
Pd 1.283 -1.767 4.353
Pm -1.132 -2.331 7.054
Pm 3.946 3.337 1.894
Pm 1.833 0.326 2.483
Pm 3.510 4.995 4.825
Pm 0.981 0.679 6.464
Pm 4.182 1.283 4.960
Pm -0.695 -3.989 4.123
Pm -1.368 -0.278 3.987
In -1.757 1.450 1.106
CELL_PARAMETERS angstrom
-3.514 2.899 2.213
-1.712 -5.936 5.059
8.040 4.042 1.676
```

x.
The following is a PBE calculation of a relaxed Pm8InPd2 crystal, from Alexandria via LeMat-Bulk. Values from VASP.

Symmetry = C2/m
Spin magnetization = 0.0 Bohr magnetons per cell

Structure (Quantum ESPRESSO input):
```
&SYSTEM
  ibrav = 0, nat = 11, ntyp = 3
/
ATOMIC_SPECIES
Pm 145.00 Pm.upf
In 114.82 In.upf
Pd 106.42 Pd.upf
ATOMIC_POSITIONS angstrom
Pm 0.999 -3.531 2.502
Pm 3.792 -6.174 2.675
Pm 2.216 -1.007 -0.085
Pm 4.764 -2.934 1.517
Pm -0.954 -2.187 -0.486
Pm -1.926 -5.427 0.672
Pm 1.839 -4.830 -0.313
Pm 0.622 -7.355 2.274
In -0.201 -0.397 2.761
Pd -0.949 -4.740 -1.991
Pd 4.189 -2.827 -1.342
CELL_PARAMETERS angstrom
-0.402 -0.794 5.523
-4.890 -6.209 -2.489
8.130 -1.359 -0.844
```

The most stable of them is w.

w.
The following is a PBE calculation of a relaxed PmIn3Pd2 crystal, from Alexandria via LeMat-Bulk. Values from VASP.

Symmetry = Cmcm
Spin magnetization = 0.0 Bohr magnetons per cell

Structure (Quantum ESPRESSO input):
```
&SYSTEM
  ibrav = 0, nat = 12, ntyp = 3
/
ATOMIC_SPECIES
Pd 106.42 Pd.upf
In 114.82 In.upf
Pm 145.00 Pm.upf
ATOMIC_POSITIONS angstrom
Pd 0.027 1.113 5.095
Pd 0.027 4.967 1.589
Pd 2.986 4.955 1.576
Pd 2.986 1.102 5.081
In 1.518 5.639 3.833
In 4.490 5.841 6.420
In 4.453 2.772 0.682
In 1.518 3.284 5.975
In 1.482 0.216 0.237
In 4.453 0.418 2.824
Pm 1.501 2.362 2.596
Pm 4.471 3.695 4.061
CELL_PARAMETERS angstrom
5.918 -0.024 -0.026
0.027 6.699 0.013
0.027 -0.618 6.670
```

x.
The following is a PBE calculation of a relaxed PmIn3Pd2 crystal, from Alexandria via LeMat-Bulk. Values from VASP.

Symmetry = C2/m
Spin magnetization = 0.0 Bohr magnetons per cell

Structure (Quantum ESPRESSO input):
```
&SYSTEM
  ibrav = 0, nat = 18, ntyp = 3
/
ATOMIC_SPECIES
In 114.82 In.upf
Pm 145.00 Pm.upf
Pd 106.42 Pd.upf
ATOMIC_POSITIONS angstrom
In 2.218 2.114 1.338
In 2.218 2.842 9.283
In 0.000 0.638 3.493
In 0.000 5.592 -1.386
In 2.218 7.796 4.404
In 0.000 3.647 2.931
In 2.218 4.787 4.965
In 2.218 -0.062 5.385
In 0.000 6.320 6.559
Pm 2.218 5.809 1.261
Pm 0.000 0.000 0.000
Pm 0.000 2.625 6.636
Pd 2.218 0.323 8.359
Pd 2.218 5.030 7.693
Pd 0.000 6.149 3.797
Pd 2.218 2.285 4.099
Pd 0.000 3.404 0.203
Pd 0.000 8.111 -0.462
CELL_PARAMETERS angstrom
4.436 0.000 0.000
-2.218 8.557 -2.874
0.000 -0.123 10.771
```

The most stable of them is w.

w.
The following is a PBE calculation of a relaxed PmInPd crystal, from Alexandria via LeMat-Bulk. Values from VASP.

Symmetry = Cmcm
Spin magnetization = 0.0 Bohr magnetons per cell

Structure (Quantum ESPRESSO input):
```
&SYSTEM
  ibrav = 0, nat = 6, ntyp = 3
/
ATOMIC_SPECIES
Pm 145.00 Pm.upf
Pd 106.42 Pd.upf
In 114.82 In.upf
ATOMIC_POSITIONS angstrom
Pm 1.795 3.752 1.377
Pm 0.000 1.251 6.670
Pd 1.795 3.752 7.059
Pd 0.000 1.251 0.988
In 0.000 3.752 4.537
In 1.795 1.251 3.510
CELL_PARAMETERS angstrom
3.590 0.000 0.000
0.000 5.003 0.000
-1.795 0.000 8.047
```

x.
The following is a PBE calculation of a relaxed PmInPd crystal, from Alexandria via LeMat-Bulk. Values from VASP.

Symmetry = Pmma
Spin magnetization = 0.0 Bohr magnetons per cell

Structure (Quantum ESPRESSO input):
```
&SYSTEM
  ibrav = 0, nat = 18, ntyp = 3
/
ATOMIC_SPECIES
In 114.82 In.upf
Pd 106.42 Pd.upf
Pm 145.00 Pm.upf
ATOMIC_POSITIONS angstrom
In -3.035 -2.913 -0.364
In -1.547 -7.956 6.798
In -4.104 -6.172 -0.967
In -2.923 -8.572 3.660
In -2.616 -11.214 6.196
In -2.728 -5.556 2.172
Pd -1.856 -0.823 1.292
Pd -3.794 -13.304 4.540
Pd -1.498 -5.292 -0.366
Pd -0.623 -9.740 4.827
Pd -4.145 -10.285 1.643
Pd -1.505 -3.842 4.189
Pm -0.127 -6.581 4.017
Pm -1.919 -11.794 2.844
Pm 0.339 -10.591 7.866
Pm -2.460 -4.441 -3.405
Pm -0.202 -3.238 1.618
Pm -1.994 -8.451 0.444
CELL_PARAMETERS angstrom
-3.530 0.905 1.370
-3.267 -5.176 -4.998
1.146 -9.856 9.459
```

The most stable of them is x.

w.
The following is a PBE calculation of a relaxed Pm3In4Pd2 crystal, from Alexandria via LeMat-Bulk. Values from VASP.

Symmetry = C2/m
Spin magnetization = 0.0 Bohr magnetons per cell

Structure (Quantum ESPRESSO input):
```
&SYSTEM
  ibrav = 0, nat = 9, ntyp = 3
/
ATOMIC_SPECIES
In 114.82 In.upf
Pd 106.42 Pd.upf
Pm 145.00 Pm.upf
ATOMIC_POSITIONS angstrom
In -1.751 -2.900 -0.495
In 0.838 -6.378 1.302
In -4.536 -7.630 0.905
In -1.947 -11.107 2.702
Pd -0.564 -7.008 3.596
Pd -3.133 -7.000 -1.388
Pm -1.355 -8.747 0.442
Pm -2.342 -5.260 1.766
Pm 0.000 0.000 0.000
CELL_PARAMETERS angstrom
-3.861 -1.848 1.987
-2.453 -4.559 -3.400
2.616 -7.601 3.620
```

x.
The following is a PBE calculation of a relaxed Pm3In4Pd2 crystal, from Alexandria via LeMat-Bulk. Values from VASP.

Symmetry = C2/m
Spin magnetization = 0.0 Bohr magnetons per cell

Structure (Quantum ESPRESSO input):
```
&SYSTEM
  ibrav = 0, nat = 9, ntyp = 3
/
ATOMIC_SPECIES
Pm 145.00 Pm.upf
Pd 106.42 Pd.upf
In 114.82 In.upf
ATOMIC_POSITIONS angstrom
Pm 0.000 2.789 5.346
Pm 0.000 0.000 0.000
Pm 2.305 0.532 3.263
Pd 2.305 0.699 6.397
Pd 0.000 2.622 2.211
In 0.000 -0.652 5.686
In 2.305 2.088 0.476
In 2.305 3.973 2.922
In 0.000 1.232 8.132
CELL_PARAMETERS angstrom
4.610 0.000 0.000
-2.305 5.781 0.027
0.000 -2.460 8.581
```

The most stable of them is w.

w.
The following is a PBE calculation of a relaxed PmInPd6 crystal, from Alexandria via LeMat-Bulk. Values from VASP.

Symmetry = Pm-3
Spin magnetization = 0.0 Bohr magnetons per cell

Structure (Quantum ESPRESSO input):
```
&SYSTEM
  ibrav = 0, nat = 8, ntyp = 3
/
ATOMIC_SPECIES
Pd 106.42 Pd.upf
Pm 145.00 Pm.upf
In 114.82 In.upf
ATOMIC_POSITIONS angstrom
Pd -3.591 -3.053 0.492
Pd -1.372 -1.429 2.147
Pd -2.695 -0.866 -0.722
Pd -2.104 1.572 1.279
Pd -2.377 0.067 4.100
Pd -4.395 1.772 -0.053
Pm -4.133 -0.485 1.810
In 0.000 0.000 0.000
CELL_PARAMETERS angstrom
-4.518 0.394 -2.626
-1.767 -4.313 2.395
-1.981 2.951 3.851
```

x.
The following is a PBE calculation of a relaxed PmInPd6 crystal, from Alexandria via LeMat-Bulk. Values from VASP.

Symmetry = P4/mmm
Spin magnetization = 0.0 Bohr magnetons per cell

Structure (Quantum ESPRESSO input):
```
&SYSTEM
  ibrav = 0, nat = 8, ntyp = 3
/
ATOMIC_SPECIES
Pd 106.42 Pd.upf
Pm 145.00 Pm.upf
In 114.82 In.upf
ATOMIC_POSITIONS angstrom
Pd 0.000 2.063 2.135
Pd 2.063 2.063 4.091
Pd 2.063 0.000 6.047
Pd 2.063 2.063 0.000
Pd 2.063 0.000 2.135
Pd 0.000 2.063 6.047
Pm 0.000 0.000 0.000
In 0.000 0.000 4.091
CELL_PARAMETERS angstrom
4.127 0.000 0.000
0.000 4.127 0.000
0.000 0.000 8.182
```

The most stable of them is x.